# Mn2Ge2Sb | Alexandria | PBE | optimized geometry
data_Mn2Ge2Sb
_symmetry_space_group_name_H-M 'I 4/m m m'
_symmetry_Int_Tables_number 139
_symmetry_space_group_name_Hall '-I 4 2'
_cell_length_a 3.6880
_cell_length_b 3.6880
_cell_length_c 12.5262
_cell_angle_alpha 90.00
_cell_angle_beta 90.00
_cell_angle_gamma 90.00
loop_
_atom_site_label
_atom_site_type_symbol
_atom_site_fract_x
_atom_site_fract_y
_atom_site_fract_z
Mn1 Mn 0.0000 0.0000 0.1044
Ge1 Ge 0.0000 0.5000 0.2500
Sb1 Sb 0.0000 0.0000 0.5000
# Formation energy without anion corrections   0.1182 eV/atom
# Spin magnetization   5.1 μB per formula unit
# Uncorrected energy   -6.221 eV/atom